Record 1
An optimized crystal structure of MnHN2O, computed with GGA+U.

```
5
Lattice="-1.565 2.291 -0.139 -0.045 -0.199 -2.771 -4.665 -3.167 0.303" Properties=species:S:1:pos:R:3 pbc="T T T"
H 0.000 0.000 0.000
Mn -3.138 -0.537 -1.303
O -2.333 -1.584 0.152
N -0.023 -0.099 -1.385
N -0.782 1.146 -0.069
```

Computed properties:
Space group   P4/mmm, No. 123


Record 2
An optimized crystal structure of MnHN2O, computed with GGA+U.

```
5
Lattice="-3.111 1.540 1.592 -1.486 -3.487 0.470 1.583 -0.228 3.314" Properties=species:S:1:pos:R:3 pbc="T T T"
H -1.507 -1.088 2.688
Mn 0.000 0.000 0.000
O 0.792 -0.114 1.657
N -0.743 -1.743 0.235
N -1.555 0.770 0.796
```

Computed properties:
Space group   P4/mmm, No. 123


Record 3
An optimized crystal structure of MnH2NO, computed with GGA+U.

```
5
Lattice="-0.196 -2.740 1.037 1.195 -1.659 -4.083 4.818 -0.671 -0.827" Properties=species:S:1:pos:R:3 pbc="T T T"
Mn 3.232 -3.247 -2.504
H 5.021 -1.503 -1.722
H 5.465 -2.106 -3.217
N 4.641 -1.826 -2.639
O 2.159 -1.924 -3.369
```

Computed properties:
Space group   P1, No. 1
Polymorph energy (0 for the lowest one)   36 meV/atom


no.,uncorrected energy (eV per atom)
1,-4.7793
2,-4.8655
3,-6.1099